[1]
A relaxed structure of CePmCdAg. Source: Alexandria via LeMat-Bulk, functional PBE.

abc: 5.353 5.353 5.353
angles: 60.00 60.00 60.00
Each line ends with the local moment (μB).
Fractional positions:
Cd  0.750  0.750  0.750  0.01
Ag  0.250  0.250  0.250  0.02
Ce  0.000  0.000  0.000  0.91
Pm  0.500  0.500  0.500  0.15


[2]
A relaxed structure of Sr5Re4. Source: Alexandria via LeMat-Bulk, functional PBE.

abc: 9.588 9.588 6.394
angles: 90.00 90.00 120.00
Fractional positions:
Re  0.000  0.000  0.000
Re  0.000  0.000  0.500
Re  0.000  0.210  0.250
Re  0.790  0.790  0.250
Re  0.210  0.000  0.250
Re  0.000  0.790  0.750
Re  0.210  0.210  0.750
Re  0.790  0.000  0.750
Sr  0.000  0.646  0.250
Sr  0.354  0.354  0.250
Sr  0.646  0.000  0.250
Sr  0.000  0.354  0.750
Sr  0.646  0.646  0.750
Sr  0.354  0.000  0.750
Sr  0.667  0.333  0.000
Sr  0.333  0.667  0.500
Sr  0.333  0.667  0.000
Sr  0.667  0.333  0.500

Properties
Energy relative to the lowest polymorph listed for this composition in eV per atom: 0.1613


Quick rundown of DFT formation energy, same order as above: -0.16; 1.11 eV/atom